Compound: LiPa2BeN4
Source: Alexandria
Functional: PBE-GGA
Structure: relaxed

Values from the calculation:
Density of states at the Fermi level = 0.5965 states/eV per atom
Formation energy without anion corrections = -1.054 eV per atom
Crystal system = monoclinic

Unit cell a=11.249 b=7.594 c=7.688 alpha=90.00 beta=132.98 gamma=90.00
Space group C2/c (No. 15)
Unique sites:
Li1 0.250 0.250 0.000 x4
Pa1 0.000 0.000 0.000 x4
Pa2 0.250 0.250 0.500 x4
Be1 0.000 0.500 0.000 x4
N1 0.000 0.297 0.053 x8
N2 0.167 0.010 0.917 x8